(1)
A relaxed CaIn4Hg2 crystal, computed with GGA-PBE.

Output
Energy above the most stable polymorph in this dataset: 0.000 eV/atom
Space group: P-1 (2)
DFT formation energy: -190 meV per atom

Geometry as POSCAR:
```
CaIn4Hg2
1.0
5.5529 0.2691 -0.1034
0.3548 7.7488 -4.4910
-0.1197 -0.8452 9.1434
Ca Hg In
2 4 8
Cartesian
1.3802 5.0964 3.4957
4.4078 2.0764 1.0533
1.6076 1.2998 -0.5913
4.1803 5.8730 5.1403
4.1944 5.1822 1.6428
1.5935 1.9905 2.9062
1.4865 2.7698 6.1050
1.5663 6.7453 -2.3259
4.2216 0.4274 6.8749
4.3122 2.9132 4.3804
4.4206 7.5802 -0.7955
1.4757 4.2595 0.1686
4.3014 4.4030 -1.5560
1.3673 -0.4074 5.3444
```

---

(2)
A relaxed Ca3InHg4 crystal, computed with GGA-PBE.

Output
Energy above the most stable polymorph in this dataset: 0.000 eV/atom
Space group: R-3m (166)
DFT formation energy: -472 meV per atom

Geometry as POSCAR:
```
Ca3InHg4
1.0
5.0584 0.0000 1.4932
2.3088 4.5008 1.4932
0.0098 0.0060 9.2815
Ca Hg In
3 4 1
Cartesian
1.8898 1.1545 2.9127
5.4872 3.3522 9.3552
3.6885 2.2534 6.1340
6.4159 3.9196 6.2092
2.7998 1.7105 9.1444
0.9611 0.5872 6.0587
4.5772 2.7963 3.1235
0.0000 0.0000 0.0000
```

---

(3)
A relaxed CaIn2Hg crystal, computed with GGA-PBE.

Output
Space group: I-42d (122)
DFT formation energy: -187 meV per atom

Geometry as POSCAR:
```
CaIn2Hg
1.0
-3.5808 -0.2895 -2.6909
0.6005 -4.4365 -0.3217
-8.2231 -3.9363 7.6224
Ca Hg In
2 2 4
Cartesian
-1.4902 -2.3630 -1.5063
-4.5564 -5.3679 2.8972
0.0000 0.0000 0.0000
-6.6470 -3.2944 1.7126
-4.2492 -1.7221 0.1606
-2.0976 -3.7906 1.3911
-7.2901 -4.6867 4.5898
-8.7700 -7.1254 3.0780
```

---

Number 1: total magnetic moment 0.000 μB/atom. Number 2: total magnetic moment 0.000 μB/atom. Number 3: total magnetic moment 0.000 μB/atom.